(1)
Here is an optimized crystal structure of Na12BiAu6 from Alexandria. Energies are from PBE-GGA.

```
19
Lattice="-5.073 5.073 5.073 5.073 -5.073 5.073 5.073 5.073 -5.073" Properties=species:S:1:pos:R:3 pbc="T T T"
Na 5.073 3.289 -2.139
Na 2.934 0.000 1.785
Na 7.213 0.000 1.785
Na 1.785 2.934 0.000
Na 3.289 -2.139 5.073
Na 0.000 1.785 2.934
Na 5.073 3.289 2.139
Na 1.785 7.213 0.000
Na 3.289 2.139 5.073
Na -2.139 5.073 3.289
Na 2.139 5.073 3.289
Na 0.000 1.785 7.213
Bi 0.000 0.000 0.000
Au 5.073 1.383 0.000
Au 5.073 0.000 3.690
Au 3.690 5.073 0.000
Au 1.383 0.000 5.073
Au 0.000 5.073 1.383
Au 0.000 3.690 5.073
```

Properties
The formation enthalpy at 0 K is -0.2386 eV per atom. For the density of states at the Fermi level, the calculation gives 6.4 states/eV/f.u.

=====

(2)
Here is an optimized crystal structure of AcThOsCl from Alexandria. Energies are from PBE-GGA.

```
4
Lattice="2.102 1.214 7.984 -2.102 1.214 7.984 0.000 -2.428 7.984" Properties=species:S:1:pos:R:3 pbc="T T T"
Ac 0.000 0.000 0.000
Th 0.000 0.000 4.862
Os 0.000 0.000 14.204
Cl 0.000 0.000 18.509
```

Properties
As for the uncorrected formation energy: -0.871 eV per atom. For the density of states at the Fermi level, the calculation gives 1.5 states/eV/f.u.

=====

(3)
Here is an optimized crystal structure of Ga3Tc from Alexandria. Energies are from PBE-GGA.

```
4
Lattice="2.920 0.000 0.000 0.000 4.533 0.000 0.000 0.000 4.656" Properties=species:S:1:pos:R:3 pbc="T T T"
Ga 0.000 0.000 0.000
Ga 0.000 2.267 1.554
Ga 1.460 2.267 3.829
Tc 1.460 0.000 2.369
```

Properties
The formation enthalpy at 0 K is -0.0138 eV per atom. For the density of states at the Fermi level, the calculation gives 2.2 states/eV/f.u.

=====

(4)
Here is an optimized crystal structure of Ac12Sn5N2 from Alexandria. Energies are from PBE-GGA.

```
19
Lattice="9.311 -4.108 0.000 9.311 4.108 0.000 -2.788 0.000 9.726" Properties=species:S:1:pos:R:3 pbc="T T T"
Ac -0.489 0.000 1.835
Ac 5.342 2.020 4.149
Ac 3.940 2.002 8.998
Ac 10.491 2.020 5.578
Ac 11.893 2.002 0.728
Ac 8.803 0.000 1.672
Ac 7.030 0.000 8.054
Ac 3.940 -2.002 8.998
Ac 5.342 -2.020 4.149
Ac 11.893 -2.002 0.728
Ac 10.491 -2.020 5.578
Ac 16.322 0.000 7.892
Sn 1.125 0.000 8.183
Sn 2.653 0.000 3.381
Sn 7.916 0.000 4.863
Sn 13.180 0.000 6.345
Sn 14.707 0.000 1.543
N 9.311 2.173 0.000
N 9.311 -2.173 0.000
```

Properties
As for the uncorrected formation energy: -0.511 eV per atom. For the density of states at the Fermi level, the calculation gives 18.1 states/eV/f.u.

=====

(5)
Here is an optimized crystal structure of UIn2SnBr8 from Alexandria. Energies are from PBE-GGA.

```
12
Lattice="7.088 0.000 0.000 0.272 7.602 0.000 0.006 0.004 8.932" Properties=species:S:1:pos:R:3 pbc="T T T"
U 0.000 0.000 0.000
In 3.676 3.807 6.619
In 3.689 3.799 2.313
Sn 0.003 0.002 4.466
Br 1.666 5.246 8.930
Br 1.630 1.025 6.839
Br 1.650 0.981 2.085
Br 1.950 5.174 4.465
Br 5.415 2.433 4.467
Br 5.716 6.625 6.847
Br 5.736 6.581 2.093
Br 5.699 2.360 0.003
```

Properties
As for the uncorrected formation energy: -0.948 eV per atom. For the density of states at the Fermi level, the calculation gives 4.4 states/eV/f.u.

=====

(6)
Here is an optimized crystal structure of NiTe2PdN from Alexandria. Energies are from PBE-GGA.

```
5
Lattice="5.452 0.000 0.000 0.000 5.452 0.000 0.000 0.000 3.635" Properties=species:S:1:pos:R:3 pbc="T T T"
Ni 0.000 0.000 0.000
Te 0.000 2.726 1.817
Te 2.726 0.000 1.817
Pd 2.726 2.726 1.817
N 2.726 2.726 0.000
```

Properties
As for the uncorrected formation energy: 0.925 eV per atom. For the density of states at the Fermi level, the calculation gives 3.7 states/eV/f.u.